# 1
Below is Sm3AgHg3Pd2 after structural relaxation, with properties calculated at the PBE-GGA level.

Final energy   -3.754 eV/atom
Symmetry   P-62m, No. 189

abc: 7.963 7.963 3.787
angles: 90.00 90.00 120.00
Sites, in units of the cell vectors:
Hg: 0.727 0.000 0.500
Hg: 0.000 0.727 0.500
Hg: 0.273 0.273 0.500
Pd: 0.667 0.333 0.500
Pd: 0.333 0.667 0.500
Sm: 0.000 0.405 0.000
Sm: 0.595 0.595 0.000
Sm: 0.405 0.000 0.000
Ag: 0.000 0.000 0.000

***

# 2
Below is Pd4AuC2 after structural relaxation, with properties calculated at the PBE-GGA level.

Final energy   -5.018 eV/atom
Symmetry   P4/mmm, No. 123

abc: 3.759 3.759 6.795
angles: 90.00 90.00 90.00
Sites, in units of the cell vectors:
Pd: 0.000 0.500 0.306
Pd: 0.500 0.000 0.694
Pd: 0.500 0.000 0.306
Pd: 0.000 0.500 0.694
C: 0.500 0.500 0.000
C: 0.000 0.000 0.500
Au: 0.000 0.000 0.000

***

# 3
Below is LiCu2Sb2 after structural relaxation, with properties calculated at the PBE-GGA level.

Final energy   -3.578 eV/atom
Symmetry   I4/mmm, No. 139

abc: 4.282 4.282 6.469
angles: 109.33 109.33 90.00
Sites, in units of the cell vectors:
Cu: 0.250 0.750 0.500
Cu: 0.750 0.250 0.500
Sb: 0.378 0.378 0.756
Sb: 0.622 0.622 0.244
Li: 0.000 0.000 0.000

***

# 4
Below is KThMo after structural relaxation, with properties calculated at the PBE-GGA level.

Excess energy over the best structure of this formula in the dataset   0 meV/atom
Symmetry   F-43m, No. 216

abc: 5.044 5.044 5.044
angles: 60.00 60.00 60.00
Sites, in units of the cell vectors:
K: 0.250 0.250 0.250
Th: 0.750 0.750 0.750
Mo: 0.000 0.000 0.000

***

# 5
Below is ZrGaGe after structural relaxation, with properties calculated at the PBE-GGA level.

Final energy   -5.269 eV/atom
Symmetry   F-43m, No. 216

abc: 4.477 4.477 4.477
angles: 60.00 60.00 60.00
Sites, in units of the cell vectors:
Zr: 0.750 0.750 0.750
Ge: 0.250 0.250 0.250
Ga: 0.000 0.000 0.000

***

# 6
Below is AgPbSO after structural relaxation, with properties calculated at the PBE-GGA level.

Excess energy over the best structure of this formula in the dataset   160 meV/atom
Symmetry   P4/nmm, No. 129

abc: 3.827 3.827 10.836
angles: 90.00 90.00 90.00
Sites, in units of the cell vectors:
Ag: 0.750 0.250 0.000
Ag: 0.250 0.750 0.000
S: 0.250 0.250 0.156
S: 0.750 0.750 0.844
Pb: 0.750 0.750 0.377
Pb: 0.250 0.250 0.623
O: 0.750 0.750 0.580
O: 0.250 0.250 0.420

***

# 7
Below is Lu2Os2O5 after structural relaxation, with properties calculated at the PBE-GGA level.

Excess energy over the best structure of this formula in the dataset   0 meV/atom
Symmetry   P4/mmm, No. 123

abc: 6.897 3.877 3.877
angles: 90.00 90.00 90.00
Site moments in Bohr magnetons follow the coordinates.
Sites, in units of the cell vectors:
O: 0.254 0.500 0.000  0.01
O: 0.500 0.500 0.500  0.02
O: 0.746 0.500 0.000  0.01
O: 0.746 0.000 0.500  0.02
O: 0.254 0.000 0.500  0.02
Lu: 0.500 0.000 0.000  0.02
Lu: 0.000 0.000 0.000  -0.02
Os: 0.814 0.500 0.500  0.67
Os: 0.186 0.500 0.500  0.67

***

# 8
Below is Cu2SeS3 after structural relaxation, with properties calculated at the PBE-GGA level.

Excess energy over the best structure of this formula in the dataset   258 meV/atom
Symmetry   Pm, No. 6

abc: 5.571 3.737 5.798
angles: 90.00 90.93 90.00
Sites, in units of the cell vectors:
S: 0.673 0.500 0.612
S: 0.382 0.500 0.337
S: 0.153 0.000 0.844
Se: 0.825 0.000 0.158
Cu: 0.449 0.000 0.551
Cu: 0.018 0.500 0.997

***

no.,V (Å³/atom)
1,23.11
2,13.72
3,20.96
4,30.24
5,21.15
6,19.84
7,11.52
8,20.11